No. 1
An optimized crystal structure of LiPm2PuTl4, computed with GGA-PBE.

Computed properties:
magnetic moment = 6.54 μB/cell
total DFT energy (no corrections) = -37.05 eV for the cell shown

abc: 5.342 5.342 9.458
angles: 73.60 73.60 60.00
Atoms (fractional coordinates):
Li1 0.500 0.500 0.500
Pm1 0.753 0.753 0.741
Pm2 0.247 0.247 0.259
Pu1 0.000 0.000 0.000
Tl1 0.377 0.377 0.869
Tl2 0.873 0.873 0.382
Tl3 0.127 0.127 0.618
Tl4 0.623 0.623 0.131



No. 2
An optimized crystal structure of RbSiB, computed with GGA-PBE.

Computed properties:
magnetic moment = 0.00 μB/cell
total DFT energy (no corrections) = -19.67 eV for the cell shown

abc: 4.551 4.551 7.563
angles: 90.00 90.00 120.00
Atoms (fractional coordinates):
Si1 0.000 0.000 0.166
Si2 0.000 0.000 0.834
B1 0.333 0.667 0.124
B2 0.333 0.667 0.876
Rb1 0.667 0.333 0.000
Rb2 0.667 0.333 0.500



No. 3
An optimized crystal structure of Nd3TeSe2, computed with GGA-PBE.

Computed properties:
magnetic moment = 0.00 μB/cell
relative energy among the computed polymorphs = 0.0 meV/atom

abc: 4.320 6.125 7.493
angles: 114.13 106.76 90.00
Atoms (fractional coordinates):
Nd1 0.819 0.319 0.137
Nd2 0.181 0.681 0.863
Nd3 0.500 0.000 0.500
Te1 0.500 0.500 0.500
Se1 0.838 0.838 0.176
Se2 0.162 0.162 0.824



No. 4
An optimized crystal structure of LaIn3, computed with GGA-PBE.

Computed properties:
magnetic moment = 0.00 μB/cell
total DFT energy (no corrections) = -29.65 eV for the cell shown

abc: 5.020 6.553 6.730
angles: 90.00 90.00 90.00
Atoms (fractional coordinates):
La1 0.000 0.621 0.000
La2 0.500 0.379 0.500
In1 0.500 0.281 0.000
In2 0.000 0.145 0.747
In3 0.500 0.855 0.753
In4 0.000 0.719 0.500
In5 0.000 0.145 0.253
In6 0.500 0.855 0.247



No. 5
An optimized crystal structure of SiNi2Cl2, computed with GGA-PBE.

Computed properties:
magnetic moment = 0.69 μB/cell
relative energy among the computed polymorphs = 0.0 meV/atom

abc: 4.536 4.536 5.206
angles: 64.17 64.17 90.00
Atoms (fractional coordinates):
Ni1 0.750 0.250 0.500
Ni2 0.250 0.750 0.500
Si1 0.000 0.000 0.000
Cl1 0.320 0.320 0.359
Cl2 0.680 0.680 0.641



No. 6
An optimized crystal structure of Y4Tm8Mg, computed with GGA-PBE.

Computed properties:
magnetic moment = 0.00 μB/cell
total DFT energy (no corrections) = -62.79 eV for the cell shown

abc: 4.962 6.074 16.032
angles: 63.33 81.10 65.89
Atoms (fractional coordinates):
Y1 0.361 0.851 0.427
Y2 0.905 0.375 0.815
Y3 0.126 0.628 0.119
Y4 0.671 0.152 0.506
Tm1 0.051 0.550 0.349
Tm2 0.434 0.939 0.194
Tm3 0.598 0.064 0.740
Tm4 0.981 0.453 0.585
Tm5 0.744 0.240 0.272
Tm6 0.214 0.681 0.891
Tm7 0.287 0.764 0.662
Tm8 0.817 0.323 0.043
Mg1 0.516 0.002 0.967



No. 7
An optimized crystal structure of Na2SmHfSe4, computed with GGA-PBE.

Computed properties:
magnetic moment = 0.00 μB/cell
total DFT energy (no corrections) = -42.77 eV for the cell shown

abc: 4.001 6.995 7.450
angles: 107.95 90.00 90.00
Atoms (fractional coordinates):
Na1 0.500 0.000 0.500
Na2 0.000 0.500 0.500
Sm1 0.000 0.000 0.000
Hf1 0.500 0.500 0.000
Se1 0.500 0.264 0.233
Se2 0.500 0.736 0.767
Se3 0.000 0.276 0.776
Se4 0.000 0.724 0.224



No. 8
An optimized crystal structure of SmAl3Ag3, computed with GGA-PBE.

Computed properties:
magnetic moment = 0.00 μB/cell
total DFT energy (no corrections) = -50.28 eV for the cell shown

abc: 8.150 8.150 7.045
angles: 54.66 54.66 60.00
Atoms (fractional coordinates):
Sm1 0.321 0.321 0.037
Sm2 0.679 0.679 0.963
Al1 0.447 0.792 0.628
Al2 0.792 0.133 0.628
Al3 0.133 0.447 0.628
Al4 0.867 0.553 0.372
Al5 0.208 0.867 0.372
Al6 0.553 0.208 0.372
Ag1 0.230 0.670 0.158
Ag2 0.943 0.230 0.158
Ag3 0.670 0.943 0.158
Ag4 0.330 0.057 0.842
Ag5 0.057 0.770 0.842
Ag6 0.770 0.330 0.842